Density functional theory data (PBE-GGA) for Ca3BeO after structural relaxation.

It has space group Pm-3m (No. 221), with a = 4.7903 Å, b = 4.7903 Å, c = 4.7903 Å, α = 90.00°, β = 90.00° and γ = 90.00°. Symmetry generates all atoms from Ca at (0.0000, 0.0000, 0.5000), Be at (0.5000, 0.5000, 0.5000) and O at (0.0000, 0.0000, 0.0000).

As for the excess energy over the best structure of this formula in the dataset: 0 meV/atom. Its uncorrected formation energy is -0.957 eV/atom. The density of states at the Fermi level is 3.50 states/eV/cell.



Density functional theory data (PBE-GGA) for CaBeO3 after structural relaxation.

It has space group Pm-3m (No. 221), with a = 4.1882 Å, b = 4.1882 Å, c = 4.1882 Å, α = 90.00°, β = 90.00° and γ = 90.00°. Symmetry generates all atoms from Ca at (0.0000, 0.0000, 0.0000), Be at (0.5000, 0.5000, 0.5000) and O at (0.0000, 0.0000, 0.5000).

Its uncorrected formation energy is 0.032 eV/atom. The density of states at the Fermi level is 2.31 states/eV/cell.



Density functional theory data (PBE-GGA) for CaBe2O3 after structural relaxation.

It has space group C2/m (No. 12), with a = 16.3659 Å, b = 2.9658 Å, c = 5.1649 Å, α = 90.00°, β = 104.81° and γ = 90.00°. Symmetry generates all atoms from Ca at (0.1320, 0.0000, 0.4395), Be at (0.0534, 0.5000, 0.9124), Be at (0.2006, 0.0000, 0.0081), O at (0.0459, 0.5000, 0.2278), O at (0.1041, 0.0000, 0.8615) and O at (0.2314, 0.5000, 0.1848).

Its uncorrected formation energy is -2.619 eV/atom. The density of states at the Fermi level is 0.00 states/eV/cell.



Density functional theory data (PBE-GGA) for CaBe3O after structural relaxation.

It has space group Pm-3m (No. 221), with a = 4.0288 Å, b = 4.0288 Å, c = 4.0288 Å, α = 90.00°, β = 90.00° and γ = 90.00°. Symmetry generates all atoms from Ca at (0.0000, 0.0000, 0.0000), Be at (0.0000, 0.5000, 0.5000) and O at (0.5000, 0.5000, 0.5000).

As for the excess energy over the best structure of this formula in the dataset: 0 meV/atom. Its uncorrected formation energy is 0.270 eV/atom. The density of states at the Fermi level is 3.49 states/eV/cell.



Density functional theory data (PBE-GGA) for CaBeO3 after structural relaxation.

It has space group Pm-3m (No. 221), with a = 3.5607 Å, b = 3.5607 Å, c = 3.5607 Å, α = 90.00°, β = 90.00° and γ = 90.00°. Symmetry generates all atoms from Ca at (0.0000, 0.0000, 0.0000), Be at (0.5000, 0.5000, 0.5000) and O at (0.0000, 0.5000, 0.5000).

Its uncorrected formation energy is -1.806 eV/atom. The density of states at the Fermi level is 2.60 states/eV/cell.



Density functional theory data (PBE-GGA) for CaBeO after structural relaxation.

It has space group Pnma (No. 62), with a = 7.2587 Å, b = 3.6904 Å, c = 6.7098 Å, α = 90.00°, β = 90.00° and γ = 90.00°. Symmetry generates all atoms from Ca at (0.1551, 0.2500, 0.1406), Be at (0.0209, 0.2500, 0.5917) and O at (0.0438, 0.2500, 0.8152).

Its uncorrected formation energy is -1.696 eV/atom. The density of states at the Fermi level is 2.23 states/eV/cell.



Density functional theory data (PBE-GGA) for Ca3BeO4 after structural relaxation.

It has space group Pmn2_1 (No. 31), with a = 7.1979 Å, b = 6.2533 Å, c = 5.0794 Å, α = 90.00°, β = 90.00° and γ = 90.00°. Symmetry generates all atoms from Ca at (0.0000, 0.1353, 0.0000), Ca at (0.2443, 0.3270, 0.4989), Be at (0.0000, 0.8219, 0.4559), O at (0.0000, 0.0952, 0.5396), O at (0.0000, 0.8096, 0.1349) and O at (0.2105, 0.6917, 0.5469).

Its uncorrected formation energy is -2.693 eV/atom. The density of states at the Fermi level is 0.00 states/eV/cell.



Density functional theory data (PBE-GGA) for CaBeO2 after structural relaxation.

It has space group I-42d (No. 122), with a = 5.0417 Å, b = 5.0417 Å, c = 6.5641 Å, α = 90.00°, β = 90.00° and γ = 90.00°. Symmetry generates all atoms from Ca at (0.0000, 0.0000, 0.0000), Be at (0.0000, 0.0000, 0.5000) and O at (0.1496, 0.2500, 0.6250).

Its uncorrected formation energy is -2.681 eV/atom. The density of states at the Fermi level is 0.00 states/eV/cell.



Density functional theory data (PBE-GGA) for CaBe3O after structural relaxation.

It has space group Pm-3m (No. 221), with a = 5.4638 Å, b = 5.4638 Å, c = 5.4638 Å, α = 90.00°, β = 90.00° and γ = 90.00°. Symmetry generates all atoms from Ca at (0.0000, 0.0000, 0.0000), Be at (0.0000, 0.0000, 0.5000) and O at (0.5000, 0.5000, 0.5000).

As for the excess energy over the best structure of this formula in the dataset: 2124 meV/atom. Its uncorrected formation energy is 2.394 eV/atom. The density of states at the Fermi level is 16.14 states/eV/cell.



Density functional theory data (PBE-GGA) for CaBeO2 after structural relaxation.

It has space group R-3m (No. 166, hexagonal axes), with a = 3.4977 Å, b = 3.4977 Å, c = 15.7861 Å, α = 90.00°, β = 90.00° and γ = 120.00°. Symmetry generates all atoms from Ca at (0.0000, 0.0000, 0.0000), Be at (0.0000, 0.0000, 0.5000) and O at (0.0000, 0.0000, 0.4095).

Its uncorrected formation energy is -2.640 eV/atom. The density of states at the Fermi level is 0.00 states/eV/cell.



Density functional theory data (PBE-GGA) for CaBeOsO6 after structural relaxation.

It has space group P-31c (No. 163), with a = 4.8969 Å, b = 4.8969 Å, c = 10.2403 Å, α = 90.00°, β = 90.00° and γ = 120.00°. Symmetry generates all atoms from Ca at (0.0000, 0.0000, 0.0000), Be at (0.3333, 0.6667, 0.2500), Os at (0.3333, 0.6667, 0.7500) and O at (0.0037, 0.3766, 0.1485).

Its uncorrected formation energy is -1.665 eV/atom.



Density functional theory data (PBE-GGA) for CaBe2OsO8 after structural relaxation.

It has space group P-3m1 (No. 164), with a = 5.1769 Å, b = 5.1769 Å, c = 6.4048 Å, α = 90.00°, β = 90.00° and γ = 120.00°. Symmetry generates all atoms from Ca at (0.0000, 0.0000, 0.0000), Be at (0.3333, 0.6667, 0.2447), Os at (0.0000, 0.0000, 0.5000), O at (0.1646, 0.3292, 0.3257) and O at (0.3333, 0.6667, 0.9928).

Its uncorrected formation energy is -1.445 eV/atom. The density of states at the Fermi level is 2.95 states/eV/cell.



Density functional theory data (PBE-GGA) for Ca2BeOsO6 after structural relaxation.

It has space group P2_1/c (No. 14), with a = 5.3298 Å, b = 5.3830 Å, c = 9.1323 Å, α = 90.00°, β = 125.69° and γ = 90.00°. Symmetry generates all atoms from Ca at (0.2454, 0.0380, 0.2512), Be at (0.5000, 0.0000, 0.0000), Os at (0.0000, 0.0000, 0.5000), O at (0.1817, 0.2118, 0.9660), O at (0.2550, 0.7170, 0.9659) and O at (0.3221, 0.0113, 0.7578).

Its uncorrected formation energy is -2.058 eV/atom. The density of states at the Fermi level is 7.16 states/eV/cell.



Density functional theory data (PBE-GGA) for CaBe2PO6 after structural relaxation.

It has space group C2/c (No. 15), with a = 9.6736 Å, b = 8.7689 Å, c = 5.9293 Å, α = 90.00°, β = 121.32° and γ = 90.00°. Symmetry generates all atoms from Ca at (0.0000, 0.1953, 0.2500), Be at (0.1797, 0.4406, 0.1209), P at (0.0000, 0.1780, 0.7500), O at (0.0994, 0.2729, 0.0000), O at (0.1161, 0.0766, 0.7071) and O at (0.1427, 0.4456, 0.3750).

Its uncorrected formation energy is -2.403 eV/atom.



Density functional theory data (PBE-GGA) for CaBe4P3O12 after structural relaxation.

It has space group R32 (No. 155, hexagonal axes), with a = 9.5175 Å, b = 9.5175 Å, c = 6.8384 Å, α = 90.00°, β = 90.00° and γ = 120.00°. Symmetry generates all atoms from Ca at (0.0000, 0.0000, 0.0000), Be at (0.0000, 0.0000, 0.5000), Be at (0.0000, 0.4294, 0.5000), P at (0.0000, 0.5603, 0.0000), O at (0.0000, 0.5943, 0.5000), O at (0.0000, 0.8341, 0.5000) and O at (0.0609, 0.2307, 0.1998).

Its uncorrected formation energy is -2.105 eV/atom. The density of states at the Fermi level is 14.19 states/eV/cell.



Density functional theory data (PBE-GGA) for Ca2BePO after structural relaxation.

It has space group P2_1/m (No. 11), with a = 5.9818 Å, b = 3.6609 Å, c = 8.0392 Å, α = 90.00°, β = 109.56° and γ = 90.00°. Symmetry generates all atoms from Ca at (0.2035, 0.2500, 0.3885), Ca at (0.2241, 0.2500, 0.9692), Be at (0.4632, 0.7500, 0.2471), P at (0.3353, 0.7500, 0.7080) and O at (0.1834, 0.7500, 0.1711).

Its uncorrected formation energy is -1.589 eV/atom. The density of states at the Fermi level is 3.81 states/eV/cell.



Density functional theory data (PBE-GGA) for CaPaBeO5 after structural relaxation.

It has space group C2/c (No. 15), with a = 6.7036 Å, b = 9.0166 Å, c = 7.8858 Å, α = 90.00°, β = 112.35° and γ = 90.00°. Symmetry generates all atoms from Ca at (0.0000, 0.1500, 0.2500), Pa at (0.0000, 0.5000, 0.0000), Be at (0.0000, 0.1868, 0.7500), O at (0.0000, 0.4029, 0.2500), O at (0.1163, 0.2943, 0.6424) and O at (0.1693, 0.0688, 0.9025).

Its uncorrected formation energy is -2.856 eV/atom. The density of states at the Fermi level is 25.49 states/eV/cell.



Density functional theory data (PBE-GGA) for CaPaBe2O6 after structural relaxation.

It has space group C2/c (No. 15), with a = 9.3128 Å, b = 9.5156 Å, c = 5.3465 Å, α = 90.00°, β = 101.54° and γ = 90.00°. Symmetry generates all atoms from Ca at (0.0000, 0.0874, 0.2500), Pa at (0.0000, 0.3089, 0.7500), Be at (0.2033, 0.4139, 0.2822), O at (0.1174, 0.2824, 0.1204), O at (0.1235, 0.1191, 0.6584) and O at (0.1553, 0.4508, 0.5709).

Its uncorrected formation energy is -2.797 eV/atom. The density of states at the Fermi level is 22.87 states/eV/cell.



Density functional theory data (PBE-GGA) for Ca2PaBeO6 after structural relaxation.

It has space group R3 (No. 146, hexagonal axes), with a = 5.5267 Å, b = 5.5267 Å, c = 16.4786 Å, α = 90.00°, β = 90.00° and γ = 120.00°. Symmetry generates all atoms from Ca at (0.0000, 0.0000, 0.0000), Ca at (0.0000, 0.0000, 0.4887), Pa at (0.0000, 0.0000, 0.2023), Be at (0.0000, 0.0000, 0.7751), O at (0.0150, 0.4169, 0.4449) and O at (0.0356, 0.6874, 0.2592).

Its uncorrected formation energy is -2.807 eV/atom. The density of states at the Fermi level is 15.97 states/eV/cell.



Density functional theory data (PBE-GGA) for CaBePbO4 after structural relaxation.

It has space group Imma (No. 74), with a = 6.2867 Å, b = 7.1104 Å, c = 10.1209 Å, α = 90.00°, β = 90.00° and γ = 90.00°. Symmetry generates all atoms from Ca at (0.0000, 0.0000, 0.0000), Be at (0.0000, 0.2500, 0.4867), Pb at (0.2500, 0.2500, 0.7500), O at (0.0000, 0.0432, 0.7693) and O at (0.2294, 0.2500, 0.5165).

Its uncorrected formation energy is -1.788 eV/atom. The density of states at the Fermi level is 0.00 states/eV/cell.